DyTm4Cu5, optimized geometry, DFT PBE; ΔE_f = -281 meV per atom; symmetry = P4/mmm; calculated total energy = -4.3901 eV/atom
1.0
3.412 0.000 0.000
0.000 3.412 0.000
0.000 0.000 17.112
Dy Tm Cu
1 4 5
Cartesian
0.000 0.000 0.000 Dy
0.000 0.000 3.452 Tm
0.000 0.000 6.854 Tm
0.000 0.000 10.259 Tm
0.000 0.000 13.661 Tm
1.706 1.706 1.769 Cu
1.706 1.706 5.151 Cu
1.706 1.706 8.556 Cu
1.706 1.706 11.962 Cu
1.706 1.706 15.344 Cu